PrAlPd | PBE-GGA | relaxed

a = 7.203 Å, b = 7.203 Å, c = 4.278 Å
α = 90.00°, β = 90.00°, γ = 120.00°
Fractional positions:
Pr (0.000, 0.579, 0.000)
Pr (0.421, 0.421, 0.000)
Pr (0.579, 0.000, 0.000)
Al (0.000, 0.229, 0.500)
Al (0.229, 0.000, 0.500)
Al (0.771, 0.771, 0.500)
Pd (0.000, 0.000, 0.000)
Pd (0.333, 0.667, 0.500)
Pd (0.667, 0.333, 0.500)

Output
Raw total energy   -5.353 eV per atom
Spin magnetization   0.004 μB per atom



TlTcTe3Au | PBE-GGA | relaxed

a = 8.129 Å, b = 8.129 Å, c = 10.749 Å
α = 90.00°, β = 90.00°, γ = 152.14°
Fractional positions:
Tl (0.230, 0.770, 0.750)
Tl (0.770, 0.230, 0.250)
Tc (0.000, 0.000, 0.000)
Tc (0.000, 0.000, 0.500)
Te (0.071, 0.929, 0.250)
Te (0.376, 0.624, 0.020)
Te (0.376, 0.624, 0.480)
Te (0.624, 0.376, 0.520)
Te (0.624, 0.376, 0.980)
Te (0.929, 0.071, 0.750)
Au (0.445, 0.555, 0.250)
Au (0.555, 0.445, 0.750)

Output
Offset from the most stable computed form   93.5 meV per atom
Spin magnetization   0.364 μB per atom